Density functional theory data (GGA-PBEsol) for crystalline YBiO3 at its relaxed geometry.

* space group: R-3
* ΔE_f (raw): -2.3933 eV per atom

Cell lengths 6.010, 6.010, 6.010 Å; angles 59.52, 59.52, 59.52 degrees
Positions (direct):
Y  0.140  0.140  0.140
Y  0.860  0.860  0.860
Bi  0.359  0.359  0.359
Bi  0.641  0.641  0.641
O  0.006  0.783  0.456
O  0.217  0.544  0.994
O  0.456  0.006  0.783
O  0.544  0.994  0.217
O  0.783  0.456  0.006
O  0.994  0.217  0.544

Density functional theory data (GGA-PBEsol) for crystalline ZnBi2O6 at its relaxed geometry.

* space group: Pmn2_1
* ΔE_f (raw): -0.8377 eV per atom

Cell lengths 7.893, 5.763, 5.339 Å; angles 90.00, 90.00, 90.00 degrees
Positions (direct):
Zn  0.000  0.172  0.000
Zn  0.500  0.828  0.500
Bi  0.248  0.741  0.028
Bi  0.252  0.259  0.528
Bi  0.748  0.259  0.528
Bi  0.752  0.741  0.028
O  0.000  0.292  0.359
O  0.000  0.827  0.161
O  0.165  0.980  0.751
O  0.178  0.418  0.876
O  0.322  0.582  0.376
O  0.335  0.020  0.251
O  0.500  0.173  0.661
O  0.500  0.708  0.859
O  0.665  0.020  0.251
O  0.678  0.582  0.376
O  0.822  0.418  0.876
O  0.835  0.980  0.751

Density functional theory data (GGA-PBEsol) for crystalline ZnBi2O5 at its relaxed geometry.

* space group: P2_1/c
* ΔE_f (raw): -1.0487 eV per atom
* energy relative to the lowest polymorph listed for this composition: 0.047 eV/atom

Cell lengths 5.353, 11.362, 8.230 Å; angles 90.00, 110.68, 90.00 degrees
Positions (direct):
Zn  0.081  0.094  0.144
Zn  0.081  0.406  0.644
Zn  0.919  0.594  0.356
Zn  0.919  0.906  0.856
Bi  0.273  0.588  0.038
Bi  0.273  0.912  0.538
Bi  0.444  0.139  0.883
Bi  0.444  0.361  0.383
Bi  0.556  0.639  0.617
Bi  0.556  0.861  0.117
Bi  0.727  0.088  0.462
Bi  0.727  0.412  0.962
O  0.022  0.512  0.169
O  0.022  0.988  0.669
O  0.159  0.736  0.467
O  0.159  0.764  0.967
O  0.249  0.512  0.513
O  0.249  0.988  0.013
O  0.436  0.169  0.247
O  0.436  0.331  0.747
O  0.476  0.080  0.621
O  0.476  0.420  0.121
O  0.524  0.580  0.879
O  0.524  0.920  0.379
O  0.564  0.669  0.253
O  0.564  0.831  0.753
O  0.751  0.012  0.987
O  0.751  0.488  0.487
O  0.841  0.236  0.033
O  0.841  0.264  0.533
O  0.978  0.012  0.331
O  0.978  0.488  0.831

Density functional theory data (GGA-PBEsol) for crystalline ZnBiO2 at its relaxed geometry.

* space group: I-42d
* ΔE_f (raw): -0.9185 eV per atom

Cell lengths 5.195, 5.195, 9.262 Å; angles 90.00, 90.00, 90.00 degrees
Positions (direct):
Zn  0.000  0.000  0.000
Zn  0.000  0.500  0.250
Zn  0.500  0.000  0.750
Zn  0.500  0.500  0.500
Bi  0.000  0.000  0.500
Bi  0.000  0.500  0.750
Bi  0.500  0.000  0.250
Bi  0.500  0.500  0.000
O  0.180  0.750  0.125
O  0.250  0.180  0.875
O  0.250  0.320  0.375
O  0.320  0.750  0.625
O  0.680  0.250  0.625
O  0.750  0.680  0.375
O  0.750  0.820  0.875
O  0.820  0.250  0.125

Density functional theory data (GGA-PBEsol) for crystalline ZnBi2O4 at its relaxed geometry.

* space group: C2/c
* ΔE_f (raw): -1.2424 eV per atom

Cell lengths 6.544, 6.544, 10.282 Å; angles 110.60, 110.60, 30.24 degrees
Positions (direct):
Zn  0.246  0.754  0.750
Zn  0.754  0.246  0.250
Bi  0.113  0.611  0.413
Bi  0.389  0.887  0.087
Bi  0.611  0.113  0.913
Bi  0.887  0.389  0.587
O  0.097  0.599  0.767
O  0.219  0.718  0.095
O  0.282  0.781  0.405
O  0.401  0.903  0.733
O  0.599  0.097  0.267
O  0.718  0.219  0.595
O  0.781  0.282  0.905
O  0.903  0.401  0.233

Density functional theory data (GGA-PBEsol) for crystalline ZnBi2O5 at its relaxed geometry.

* space group: Cmcm
* ΔE_f (raw): -1.0252 eV per atom
* energy relative to the lowest polymorph listed for this composition: 0.071 eV/atom

Cell lengths 5.824, 5.824, 10.750 Å; angles 90.00, 90.00, 136.74 degrees
Positions (direct):
Zn  0.186  0.814  0.750
Zn  0.814  0.186  0.250
Bi  0.140  0.860  0.071
Bi  0.140  0.860  0.429
Bi  0.860  0.140  0.571
Bi  0.860  0.140  0.929
O  0.055  0.945  0.616
O  0.055  0.945  0.884
O  0.243  0.757  0.250
O  0.304  0.696  0.581
O  0.304  0.696  0.919
O  0.696  0.304  0.081
O  0.696  0.304  0.419
O  0.757  0.243  0.750
O  0.945  0.055  0.116
O  0.945  0.055  0.384

Density functional theory data (GGA-PBEsol) for crystalline ZnBi2O5 at its relaxed geometry.

* space group: Pbca
* ΔE_f (raw): -1.0958 eV per atom
* energy relative to the lowest polymorph listed for this composition: 0.000 eV/atom

Cell lengths 5.526, 16.271, 10.014 Å; angles 90.00, 90.00, 90.00 degrees
Positions (direct):
Zn  0.049  0.101  0.114
Zn  0.049  0.399  0.614
Zn  0.451  0.601  0.114
Zn  0.451  0.899  0.614
Zn  0.549  0.101  0.386
Zn  0.549  0.399  0.886
Zn  0.951  0.601  0.386
Zn  0.951  0.899  0.886
Bi  0.058  0.244  0.863
Bi  0.058  0.256  0.363
Bi  0.108  0.061  0.628
Bi  0.108  0.439  0.128
Bi  0.392  0.561  0.628
Bi  0.392  0.939  0.128
Bi  0.442  0.744  0.863
Bi  0.442  0.756  0.363
Bi  0.558  0.244  0.637
Bi  0.558  0.256  0.137
Bi  0.608  0.061  0.872
Bi  0.608  0.439  0.372
Bi  0.892  0.561  0.872
Bi  0.892  0.939  0.372
Bi  0.942  0.744  0.637
Bi  0.942  0.756  0.137
O  0.083  0.001  0.219
O  0.083  0.499  0.719
O  0.111  0.658  0.786
O  0.111  0.842  0.286
O  0.192  0.547  0.008
O  0.192  0.953  0.508
O  0.205  0.642  0.500
O  0.205  0.858  0.000
O  0.224  0.191  0.196
O  0.224  0.309  0.696
O  0.276  0.691  0.196
O  0.276  0.809  0.696
O  0.295  0.142  0.500
O  0.295  0.358  0.000
O  0.308  0.047  0.008
O  0.308  0.453  0.508
O  0.389  0.158  0.786
O  0.389  0.342  0.286
O  0.417  0.501  0.219
O  0.417  0.999  0.719
O  0.583  0.001  0.281
O  0.583  0.499  0.781
O  0.611  0.658  0.714
O  0.611  0.842  0.214
O  0.692  0.547  0.492
O  0.692  0.953  0.992
O  0.705  0.642  0.000
O  0.705  0.858  0.500
O  0.724  0.191  0.304
O  0.724  0.309  0.804
O  0.776  0.691  0.304
O  0.776  0.809  0.804
O  0.795  0.142  0.000
O  0.795  0.358  0.500
O  0.808  0.047  0.492
O  0.808  0.453  0.992
O  0.889  0.158  0.714
O  0.889  0.342  0.214
O  0.917  0.501  0.281
O  0.917  0.999  0.781

Density functional theory data (GGA-PBEsol) for crystalline ZrBiO4 at its relaxed geometry.

* space group: P-1
* ΔE_f (raw): -2.2271 eV per atom

Cell lengths 5.342, 7.681, 7.724 Å; angles 86.94, 87.29, 83.23 degrees
Positions (direct):
Zr  0.203  0.341  0.393
Zr  0.217  0.875  0.336
Zr  0.783  0.125  0.664
Zr  0.797  0.659  0.607
Bi  0.246  0.364  0.848
Bi  0.264  0.829  0.834
Bi  0.736  0.171  0.166
Bi  0.754  0.636  0.152
O  0.017  0.345  0.138
O  0.049  0.862  0.589
O  0.056  0.611  0.374
O  0.085  0.086  0.837
O  0.380  0.797  0.089
O  0.406  0.092  0.296
O  0.450  0.274  0.590
O  0.493  0.591  0.774
O  0.507  0.409  0.226
O  0.550  0.726  0.410
O  0.594  0.908  0.704
O  0.620  0.203  0.911
O  0.915  0.914  0.163
O  0.944  0.389  0.626
O  0.951  0.138  0.411
O  0.983  0.655  0.862

Density functional theory data (GGA-PBEsol) for crystalline Zr2Bi2O7 at its relaxed geometry.

* space group: Fd-3m
* ΔE_f (raw): -2.4096 eV per atom

Cell lengths 7.546, 7.546, 7.546 Å; angles 60.00, 60.00, 60.00 degrees
Positions (direct):
Zr  0.000  0.000  0.000
Zr  0.000  0.000  0.500
Zr  0.000  0.500  0.000
Zr  0.500  0.000  0.000
Bi  0.000  0.500  0.500
Bi  0.500  0.000  0.500
Bi  0.500  0.500  0.000
Bi  0.500  0.500  0.500
O  0.084  0.084  0.666
O  0.084  0.666  0.084
O  0.084  0.666  0.666
O  0.334  0.334  0.916
O  0.334  0.916  0.334
O  0.334  0.916  0.916
O  0.375  0.375  0.375
O  0.625  0.625  0.625
O  0.666  0.084  0.084
O  0.666  0.084  0.666
O  0.666  0.666  0.084
O  0.916  0.334  0.334
O  0.916  0.334  0.916
O  0.916  0.916  0.334

Density functional theory data (GGA-PBEsol) for crystalline Zr2Bi2O7 at its relaxed geometry.

* space group: P2_1
* ΔE_f (raw): -2.4143 eV per atom

Cell lengths 8.022, 5.702, 13.706 Å; angles 90.00, 98.48, 90.00 degrees
Positions (direct):
Zr  0.024  0.000  0.112
Zr  0.085  0.483  0.322
Zr  0.424  0.980  0.686
Zr  0.469  0.500  0.891
Zr  0.531  0.000  0.109
Zr  0.576  0.480  0.314
Zr  0.915  0.983  0.678
Zr  0.976  0.500  0.888
Bi  0.140  0.436  0.594
Bi  0.214  0.983  0.875
Bi  0.274  0.493  0.107
Bi  0.361  0.006  0.440
Bi  0.639  0.506  0.560
Bi  0.726  0.993  0.893
Bi  0.786  0.483  0.125
Bi  0.860  0.936  0.406
O  0.016  0.717  0.776
O  0.045  0.807  0.977
O  0.068  0.681  0.181
O  0.104  0.278  0.447
O  0.120  0.787  0.399
O  0.172  0.099  0.688
O  0.230  0.402  0.921
O  0.277  0.093  0.112
O  0.319  0.424  0.286
O  0.371  0.715  0.778
O  0.380  0.767  0.565
O  0.413  0.252  0.582
O  0.442  0.807  0.978
O  0.483  0.187  0.818
O  0.517  0.687  0.182
O  0.558  0.307  0.022
O  0.587  0.752  0.418
O  0.620  0.267  0.435
O  0.629  0.215  0.222
O  0.681  0.924  0.714
O  0.723  0.593  0.888
O  0.770  0.902  0.079
O  0.828  0.599  0.312
O  0.880  0.287  0.601
O  0.896  0.778  0.553
O  0.932  0.181  0.819
O  0.955  0.307  0.023
O  0.984  0.217  0.224

Density functional theory data (GGA-PBEsol) for crystalline Zr2BiO2 at its relaxed geometry.

* space group: I4/mmm
* ΔE_f (raw): -2.2207 eV per atom

Cell lengths 3.737, 3.737, 11.428 Å; angles 90.00, 90.00, 90.00 degrees
Positions (direct):
Zr  0.000  0.000  0.152
Zr  0.000  0.000  0.848
Zr  0.500  0.500  0.348
Zr  0.500  0.500  0.652
Bi  0.000  0.000  0.500
Bi  0.500  0.500  0.000
O  0.000  0.500  0.250
O  0.000  0.500  0.750
O  0.500  0.000  0.250
O  0.500  0.000  0.750

Density functional theory data (GGA-PBEsol) for crystalline ZrBiO4 at its relaxed geometry.

* space group: I4_1/a
* ΔE_f (raw): -2.1900 eV per atom

Cell lengths 6.486, 6.486, 6.486 Å; angles 132.21, 132.21, 69.89 degrees
Positions (direct):
Zr  0.375  0.125  0.250
Zr  0.625  0.875  0.750
Bi  0.125  0.375  0.750
Bi  0.875  0.625  0.250
O  0.035  0.255  0.254
O  0.245  0.999  0.779
O  0.281  0.535  0.279
O  0.499  0.219  0.754
O  0.501  0.781  0.246
O  0.719  0.465  0.721
O  0.755  0.001  0.221
O  0.965  0.745  0.746

Density functional theory data (GGA-PBEsol) for crystalline BiOs2PbW at its relaxed geometry.

* space group: P4/mmm
* energy relative to the elements: 2929 meV/atom

Cell lengths 4.911, 4.911, 5.032 Å; angles 90.00, 90.00, 90.00 degrees
Positions (direct):
Bi  0.000  0.000  0.000
Os  0.000  0.500  0.500
Os  0.500  0.000  0.500
Pb  0.500  0.500  0.500
W  0.500  0.500  0.000

Density functional theory data (GGA-PBEsol) for crystalline Zn2BiOsPb at its relaxed geometry.

* space group: P4/mmm
* energy relative to the elements: 567 meV/atom

Cell lengths 4.867, 4.867, 5.126 Å; angles 90.00, 90.00, 90.00 degrees
Positions (direct):
Zn  0.000  0.500  0.000
Zn  0.500  0.000  0.000
Bi  0.000  0.000  0.500
Os  0.000  0.000  0.000
Pb  0.500  0.500  0.500

Density functional theory data (GGA-PBEsol) for crystalline Bi2OsPd at its relaxed geometry.

* space group: I-42d
* energy relative to the elements: 818 meV/atom

Cell lengths 6.364, 6.364, 11.018 Å; angles 90.00, 90.00, 90.00 degrees
Positions (direct):
Bi  0.243  0.250  0.125
Bi  0.250  0.743  0.375
Bi  0.250  0.757  0.875
Bi  0.257  0.250  0.625
Bi  0.743  0.750  0.625
Bi  0.750  0.243  0.875
Bi  0.750  0.257  0.375
Bi  0.757  0.750  0.125
Os  0.000  0.000  0.000
Os  0.000  0.500  0.250
Os  0.500  0.000  0.750
Os  0.500  0.500  0.500
Pd  0.000  0.000  0.500
Pd  0.000  0.500  0.750
Pd  0.500  0.000  0.250
Pd  0.500  0.500  0.000

Density functional theory data (GGA-PBEsol) for crystalline RbBi3Os at its relaxed geometry.

* space group: Pm-3m
* energy relative to the elements: 534 meV/atom
* energy relative to the lowest polymorph listed for this composition: 0.000 eV/atom

Cell lengths 5.412, 5.412, 5.412 Å; angles 90.00, 90.00, 90.00 degrees
Positions (direct):
Rb  0.000  0.000  0.000
Bi  0.000  0.500  0.500
Bi  0.500  0.000  0.500
Bi  0.500  0.500  0.000
Os  0.500  0.500  0.500

| no. | magnetization (μB/cell) |
| --- | --- |
| 1 | 0.0 |
| 2 | 0.0 |
| 3 | 0.0 |
| 4 | 0.0 |
| 5 | 0.0 |
| 6 | 0.0 |
| 7 | 0.0 |
| 8 | 0.0 |
| 9 | 0.0 |
| 10 | 0.0 |
| 11 | 0.0 |
| 12 | 0.0 |
| 13 | 2.3 |
| 14 | 0.0 |
| 15 | 0.0 |
| 16 | 0.0 |